First-principles (PBE) data for a geometry-optimized KLa2Fe structure, as listed in the Alexandria database.

Calculated values
Formation enthalpy at 0 K ... 0.78 eV/atom
E_tot ... -16.31 eV for the cell shown
Spin magnetization ... 1.46 μB per formula unit

The structure in CIF format:
```
data_KLa2Fe
_cell_length_a 5.2987
_cell_length_b 5.2987
_cell_length_c 4.4135
_cell_angle_alpha 90.00
_cell_angle_beta 90.00
_cell_angle_gamma 90.00
_symmetry_space_group_name_H-M 'P 4/m m m'
_symmetry_Int_Tables_number 123
_symmetry_space_group_name_Hall '-P 4 2'
loop_
_atom_site_label
_atom_site_fract_x
_atom_site_fract_y
_atom_site_fract_z
_atom_site_occupancy
K1 0.0000 0.0000 0.0000 1
La1 0.0000 0.5000 0.5000 1
Fe1 0.5000 0.5000 0.0000 1
```

---

First-principles (PBE) data for a geometry-optimized Tc3PRu structure, as listed in the Alexandria database.

Calculated values
Formation enthalpy at 0 K ... 0.71 eV/atom
E_tot ... -42.22 eV for the cell shown
Spin magnetization ... 0.00 μB per formula unit

The structure in CIF format:
```
data_Tc3PRu
_cell_length_a 4.3111
_cell_length_b 4.3111
_cell_length_c 4.3111
_cell_angle_alpha 90.00
_cell_angle_beta 90.00
_cell_angle_gamma 90.00
_symmetry_space_group_name_H-M 'P m -3 m'
_symmetry_Int_Tables_number 221
_symmetry_space_group_name_Hall '-P 4 2 3'
loop_
_atom_site_label
_atom_site_fract_x
_atom_site_fract_y
_atom_site_fract_z
_atom_site_occupancy
Tc1 0.0000 0.0000 0.5000 1
P1 0.0000 0.0000 0.0000 1
Ru1 0.5000 0.5000 0.5000 1
```

---

First-principles (PBE) data for a geometry-optimized FeAsRu structure, as listed in the Alexandria database.

Calculated values
Formation enthalpy at 0 K ... 0.08 eV/atom
E_tot ... -44.29 eV for the cell shown
Spin magnetization ... 2.90 μB per formula unit

The structure in CIF format:
```
data_FeAsRu
_cell_length_a 3.0186
_cell_length_b 3.0186
_cell_length_c 9.0295
_cell_angle_alpha 90.00
_cell_angle_beta 90.00
_cell_angle_gamma 90.00
_symmetry_space_group_name_H-M 'I 4 m m'
_symmetry_Int_Tables_number 107
_symmetry_space_group_name_Hall 'I 4 -2'
loop_
_atom_site_label
_atom_site_fract_x
_atom_site_fract_y
_atom_site_fract_z
_atom_site_occupancy
Fe1 0.0000 0.0000 0.0000 1
As1 0.0000 0.0000 0.3442 1
Ru1 0.0000 0.0000 0.6849 1
```

---

First-principles (PBE) data for a geometry-optimized B3OsAu structure, as listed in the Alexandria database.

Calculated values
Formation enthalpy at 0 K ... 1.09 eV/atom
E_tot ... -29.08 eV for the cell shown
Spin magnetization ... 0.00 μB per formula unit

The structure in CIF format:
```
data_B3OsAu
_cell_length_a 4.1186
_cell_length_b 4.1186
_cell_length_c 4.1186
_cell_angle_alpha 90.00
_cell_angle_beta 90.00
_cell_angle_gamma 90.00
_symmetry_space_group_name_H-M 'P m -3 m'
_symmetry_Int_Tables_number 221
_symmetry_space_group_name_Hall '-P 4 2 3'
loop_
_atom_site_label
_atom_site_fract_x
_atom_site_fract_y
_atom_site_fract_z
_atom_site_occupancy
B1 0.0000 0.0000 0.5000 1
Os1 0.0000 0.0000 0.0000 1
Au1 0.5000 0.5000 0.5000 1
```

---

First-principles (PBE) data for a geometry-optimized RuC3 structure, as listed in the Alexandria database.

Calculated values
Formation enthalpy at 0 K ... 2.12 eV/atom
E_tot ... -56.95 eV for the cell shown
Spin magnetization ... 0.00 μB per formula unit

The structure in CIF format:
```
data_RuC3
_cell_length_a 3.4887
_cell_length_b 4.0054
_cell_length_c 5.7421
_cell_angle_alpha 90.00
_cell_angle_beta 90.00
_cell_angle_gamma 90.00
_symmetry_space_group_name_H-M 'I m m m'
_symmetry_Int_Tables_number 71
_symmetry_space_group_name_Hall '-I 2 2'
loop_
_atom_site_label
_atom_site_fract_x
_atom_site_fract_y
_atom_site_fract_z
_atom_site_occupancy
Ru1 0.0000 0.0000 0.0000 1
C1 0.0000 0.1733 0.5000 1
C2 0.0000 0.5000 0.0000 1
```

---

First-principles (PBE) data for a geometry-optimized FeMoPt2 structure, as listed in the Alexandria database.

Calculated values
Formation enthalpy at 0 K ... -0.14 eV/atom
E_tot ... -95.79 eV for the cell shown
Spin magnetization ... 3.02 μB per formula unit

The structure in CIF format:
```
data_FeMoPt2
_cell_length_a 2.7664
_cell_length_b 2.7664
_cell_length_c 26.9143
_cell_angle_alpha 90.00
_cell_angle_beta 90.00
_cell_angle_gamma 120.00
_symmetry_space_group_name_H-M 'R -3 m'
_symmetry_Int_Tables_number 166
_symmetry_space_group_name_Hall '-R 3 2"'
loop_
_atom_site_label
_atom_site_fract_x
_atom_site_fract_y
_atom_site_fract_z
_atom_site_occupancy
Fe1 0.0000 0.0000 0.0000 1
Mo1 0.0000 0.0000 0.5000 1
Pt1 0.0000 0.0000 0.2523 1
```

---

First-principles (PBE) data for a geometry-optimized Pa2MnPbN5 structure, as listed in the Alexandria database.

Calculated values
Formation energy (no corrections) ... -0.80 eV/atom
E_tot ... -322.81 eV for the cell shown
Spin magnetization ... 2.90 μB per formula unit

The structure in CIF format:
```
data_Pa2MnPbN5
_cell_length_a 6.6777
_cell_length_b 6.6777
_cell_length_c 11.2297
_cell_angle_alpha 90.00
_cell_angle_beta 90.00
_cell_angle_gamma 90.00
_symmetry_space_group_name_H-M 'I 4/m c m'
_symmetry_Int_Tables_number 140
_symmetry_space_group_name_Hall '-I 4 2c'
loop_
_atom_site_label
_atom_site_fract_x
_atom_site_fract_y
_atom_site_fract_z
_atom_site_occupancy
Pa1 0.1810 0.3190 0.0000 1
Mn1 0.0000 0.5000 0.2500 1
Pb1 0.0000 0.0000 0.2500 1
N1 0.0000 0.0000 0.0000 1
N2 0.1365 0.3635 0.3701 1
```

---

First-principles (PBE) data for a geometry-optimized MnGeCN structure, as listed in the Alexandria database.

Calculated values
Formation energy (no corrections) ... 0.28 eV/atom
E_tot ... -30.21 eV for the cell shown
Spin magnetization ... 1.98 μB per formula unit

The structure in CIF format:
```
data_MnGeCN
_cell_length_a 2.9384
_cell_length_b 2.9384
_cell_length_c 5.5413
_cell_angle_alpha 90.00
_cell_angle_beta 90.00
_cell_angle_gamma 120.00
_symmetry_space_group_name_H-M 'P 3 m 1'
_symmetry_Int_Tables_number 156
_symmetry_space_group_name_Hall 'P 3 -2"'
loop_
_atom_site_label
_atom_site_fract_x
_atom_site_fract_y
_atom_site_fract_z
_atom_site_occupancy
Mn1 0.0000 0.0000 0.0000 1
Ge1 0.3333 0.6667 0.3581 1
C1 0.6667 0.3333 0.8094 1
N1 0.6667 0.3333 0.5654 1
```

---

First-principles (PBE) data for a geometry-optimized Rb2AlSeCl6 structure, as listed in the Alexandria database.

Calculated values
Formation energy (no corrections) ... -1.27 eV/atom
E_tot ... -65.91 eV for the cell shown
Spin magnetization ... 1.00 μB per formula unit

The structure in CIF format:
```
data_Rb2AlSeCl6
_cell_length_a 7.8861
_cell_length_b 7.8861
_cell_length_c 9.9490
_cell_angle_alpha 90.00
_cell_angle_beta 90.00
_cell_angle_gamma 90.00
_symmetry_space_group_name_H-M 'I 4/m m m'
_symmetry_Int_Tables_number 139
_symmetry_space_group_name_Hall '-I 4 2'
loop_
_atom_site_label
_atom_site_fract_x
_atom_site_fract_y
_atom_site_fract_z
_atom_site_occupancy
Rb1 0.0000 0.5000 0.2500 1
Al1 0.0000 0.0000 0.0000 1
Se1 0.0000 0.0000 0.5000 1
Cl1 0.0000 0.0000 0.2575 1
Cl2 0.2044 0.2044 0.0000 1
```

---

First-principles (PBE) data for a geometry-optimized SrBe2P structure, as listed in the Alexandria database.

Calculated values
Formation enthalpy at 0 K ... -0.11 eV/atom
E_tot ... -59.93 eV for the cell shown
Spin magnetization ... 0.00 μB per formula unit

The structure in CIF format:
```
data_SrBe2P
_cell_length_a 4.4369
_cell_length_b 4.4369
_cell_length_c 15.2245
_cell_angle_alpha 90.00
_cell_angle_beta 90.00
_cell_angle_gamma 90.00
_symmetry_space_group_name_H-M 'I 41/a m d'
_symmetry_Int_Tables_number 141
loop_
_symmetry_equiv_pos_as_xyz
'x,y,z'
'-x,-y,-z'
'-y+1/4,x+3/4,z+1/4'
'y+1/4,-x+3/4,-z+1/4'
'-x+1/2,-y,z+1/2'
'x+1/2,y,-z+1/2'
'y+1/4,-x+1/4,z+3/4'
'-y+1/4,x+1/4,-z+3/4'
'x,-y,-z'
'-x,y,z'
'-y+1/4,-x+1/4,-z+3/4'
'y+1/4,x+1/4,z+3/4'
'-x+1/2,y,-z+1/2'
'x+1/2,-y,z+1/2'
'y+1/4,x+3/4,-z+1/4'
'-y+1/4,-x+3/4,z+1/4'
'x+1/2,y+1/2,z+1/2'
'-x+1/2,-y+1/2,-z+1/2'
'-y+3/4,x+1/4,z+3/4'
'y+3/4,-x+1/4,-z+3/4'
'-x,-y+1/2,z'
'x,y+1/2,-z'
'y+3/4,-x+3/4,z+1/4'
'-y+3/4,x+3/4,-z+1/4'
'x+1/2,-y+1/2,-z+1/2'
'-x+1/2,y+1/2,z+1/2'
'-y+3/4,-x+3/4,-z+1/4'
'y+3/4,x+3/4,z+1/4'
'-x,y+1/2,-z'
'x,-y+1/2,z'
'y+3/4,x+1/4,-z+3/4'
'-y+3/4,-x+1/4,z+3/4'
loop_
_atom_site_label
_atom_site_fract_x
_atom_site_fract_y
_atom_site_fract_z
_atom_site_occupancy
Sr1 0.0000 0.2500 0.3750 1
Be1 0.0000 0.0000 0.0000 1
P1 0.0000 0.2500 0.8750 1
```

---

First-principles (PBE) data for a geometry-optimized PmSnPb2 structure, as listed in the Alexandria database.

Calculated values
Formation enthalpy at 0 K ... -0.40 eV/atom
E_tot ... -17.75 eV for the cell shown
Spin magnetization ... 0.00 μB per formula unit

The structure in CIF format:
```
data_PmSnPb2
_cell_length_a 4.8650
_cell_length_b 4.8650
_cell_length_c 4.8804
_cell_angle_alpha 90.00
_cell_angle_beta 90.00
_cell_angle_gamma 90.00
_symmetry_space_group_name_H-M 'P 4/m m m'
_symmetry_Int_Tables_number 123
_symmetry_space_group_name_Hall '-P 4 2'
loop_
_atom_site_label
_atom_site_fract_x
_atom_site_fract_y
_atom_site_fract_z
_atom_site_occupancy
Pm1 0.0000 0.0000 0.0000 1
Sn1 0.5000 0.5000 0.0000 1
Pb1 0.0000 0.5000 0.5000 1
```

---

First-principles (PBE) data for a geometry-optimized ThCrHN2 structure, as listed in the Alexandria database.

Calculated values
E_tot ... -41.81 eV for the cell shown
Spin magnetization ... 0.00 μB per formula unit

The structure in CIF format:
```
data_ThCrHN2
_cell_length_a 3.8667
_cell_length_b 3.8667
_cell_length_c 3.5417
_cell_angle_alpha 90.00
_cell_angle_beta 90.00
_cell_angle_gamma 90.00
_symmetry_space_group_name_H-M 'P 4/m m m'
_symmetry_Int_Tables_number 123
_symmetry_space_group_name_Hall '-P 4 2'
loop_
_atom_site_label
_atom_site_fract_x
_atom_site_fract_y
_atom_site_fract_z
_atom_site_occupancy
Th1 0.0000 0.0000 0.0000 1
Cr1 0.5000 0.5000 0.5000 1
H1 0.5000 0.5000 0.0000 1
N1 0.0000 0.5000 0.5000 1
```

---

First-principles (PBE) data for a geometry-optimized Ho5Tl2Rh2 structure, as listed in the Alexandria database.

Calculated values
Formation enthalpy at 0 K ... -0.57 eV/atom
E_tot ... -189.85 eV for the cell shown
Spin magnetization ... 0.00 μB per formula unit

The structure in CIF format:
```
data_Ho5Tl2Rh2
_cell_length_a 16.3087
_cell_length_b 7.5977
_cell_length_c 7.5172
_cell_angle_alpha 90.00
_cell_angle_beta 90.00
_cell_angle_gamma 90.00
_symmetry_space_group_name_H-M 'C m c e'
_symmetry_Int_Tables_number 64
_symmetry_space_group_name_Hall '-C 2ac 2'
loop_
_atom_site_label
_atom_site_fract_x
_atom_site_fract_y
_atom_site_fract_z
_atom_site_occupancy
Ho1 0.0000 0.0000 0.0000 1
Ho2 0.1158 0.1692 0.3359 1
Tl1 0.2202 0.0000 0.0000 1
Rh1 0.0000 0.1347 0.6368 1
```